VASP calculation (meta-GGA SCAN) on CuHgTe2 at its PBEsol-relaxed geometry.

The structure belongs to space group C2/m (No. 12); the cell edges are 7.303, 3.886 and 7.053 Å and the angles 90.00°, 107.30° and 90.00°. The asymmetric unit holds Cu at (0.000, 0.000, 0.000), Hg at (0.000, 0.500, 0.500) and Te at (0.200, 0.500, 0.210).

The raw formation energy comes out at -0.016 eV per atom. The value obtained for the total energy is -315.86 eV for the cell shown. Its volume is 23.890 Å³/atom.